[1]
Material: LiY2Ga
Method: DFT, PBE
State: optimized geometry

Computed properties:
The space group is No. 166. As for the total energy: -4.21 eV/atom. The value obtained for the calculated formation energy is 0.254 eV/atom. The calculation puts the density of states at the Fermi level at 1.071 states/eV/atom.

a b c (Å): 11.5584 11.5584 11.5584
angles (deg): 16.77 16.77 16.77
Fractional positions:
Li  0.0000  0.0000  0.0000
Y  0.4122  0.4122  0.4122
Y  0.5878  0.5878  0.5878
Ga  0.5000  0.5000  0.5000


[2]
Material: Hf4Al
Method: DFT, PBE
State: optimized geometry

Computed properties:
The space group is No. 141. As for the total energy: -8.47 eV/atom. The value obtained for the calculated formation energy is 0.241 eV/atom. The calculation puts the density of states at the Fermi level at 1.200 states/eV/atom. The relative energy among the computed polymorphs is 283 meV per atom.

a b c (Å): 6.7600 6.7600 6.7600
angles (deg): 103.74 103.74 121.67
Fractional positions:
Hf  0.2306  0.2899  0.5593
Hf  0.2306  0.6713  0.9407
Hf  0.2899  0.2306  0.0593
Hf  0.3287  0.7694  0.5593
Hf  0.6713  0.2306  0.4407
Hf  0.7101  0.7694  0.9407
Hf  0.7694  0.3287  0.0593
Hf  0.7694  0.7101  0.4407
Al  0.1250  0.8750  0.2500
Al  0.8750  0.1250  0.7500


[3]
Material: SrCa2ZnIr
Method: DFT, PBE
State: optimized geometry

Computed properties:
The space group is No. 123. As for the total energy: -3.29 eV/atom. The value obtained for the calculated formation energy is -0.128 eV/atom. The calculation puts the density of states at the Fermi level at 0.513 states/eV/atom. The relative energy among the computed polymorphs is 0 meV per atom.

a b c (Å): 5.4962 5.4962 5.1092
angles (deg): 90.00 90.00 90.00
Fractional positions:
Sr  0.0000  0.0000  0.0000
Ca  0.0000  0.5000  0.5000
Ca  0.5000  0.0000  0.5000
Zn  0.5000  0.5000  0.0000
Ir  0.5000  0.5000  0.5000


[4]
Material: HoPa2PdN5
Method: DFT, PBE
State: optimized geometry

Computed properties:
The space group is No. 36. As for the total energy: -8.86 eV/atom. The calculation puts the density of states at the Fermi level at 0.038 states/eV/atom. The value obtained for the raw formation energy is -9.4 eV per formula unit.

a b c (Å): 6.7321 6.7321 10.8529
angles (deg): 90.00 90.00 149.76
Fractional positions:
Ho  0.2033  0.7967  0.5000
Ho  0.7967  0.2033  0.0000
Pa  0.0999  0.9001  0.1846
Pa  0.1457  0.8543  0.7848
Pa  0.8543  0.1457  0.2848
Pa  0.9001  0.0999  0.6846
Pd  0.4766  0.5234  0.9622
Pd  0.5234  0.4766  0.4622
N  0.0574  0.9426  0.6062
N  0.2740  0.7260  0.1787
N  0.3247  0.6753  0.8617
N  0.3763  0.6237  0.5432
N  0.4714  0.5286  0.2856
N  0.5286  0.4714  0.7856
N  0.6237  0.3763  0.0432
N  0.6753  0.3247  0.3617
N  0.7260  0.2740  0.6787
N  0.9426  0.0574  0.1062